This record from Alexandria describes crystalline NaHf2TaSe at its relaxed geometry. The functional is PBE-GGA.

Space-group type ... No. 123
Total magnetization ... 0.00 μB per formula unit
Final energy ... -27.6 eV per cell
Formation energy without anion corrections ... 1.797 eV/atom

Cell: 4.9722 4.9722 4.6759 Å, 90.00 90.00 90.00°
Closest atoms and distances in Å follow each position.
Fractional coordinates of all 5 atoms:
Na 0.0000 0.0000 0.0000  2 Ta 2.34, 4 Hf 2.49
Hf 0.0000 0.5000 0.0000  2 Na 2.49
Hf 0.5000 0.0000 0.0000  2 Na 2.49
Ta 0.0000 0.0000 0.5000  2 Na 2.34
Se 0.5000 0.5000 0.5000  8 Hf 3.41, 4 Ta 3.52